Entry 1:
# NaCaAgSn PBE relaxed
# energy: -2.865 eV per atom
# ΔH_f (0 K): -0.32 eV/atom
data_NaCaAgSn
_chemical_formula_sum 'Na4 Ca4 Ag4 Sn4'
_symmetry_space_group_name_H-M 'F -4 3 m'
_symmetry_Int_Tables_number 216
_symmetry_space_group_name_Hall 'F -4 2 3'
_cell_length_a 7.200
_cell_length_b 7.200
_cell_length_c 7.200
_cell_angle_alpha 90.00
_cell_angle_beta 90.00
_cell_angle_gamma 90.00
loop_
_atom_site_label
_atom_site_type_symbol
_atom_site_fract_x
_atom_site_fract_y
_atom_site_fract_z
Na1 Na 0.000 0.000 0.000
Ca1 Ca 0.250 0.250 0.750
Ag1 Ag 0.000 0.000 0.500
Sn1 Sn 0.250 0.250 0.250

***

Entry 2:
# Ga2GePd PBE relaxed
# energy: -4.135 eV per atom
# ΔH_f (0 K): -0.17 eV/atom
data_Ga2GePd
_chemical_formula_sum 'Ga2 Ge1 Pd1'
_symmetry_space_group_name_H-M 'P 4/m m m'
_symmetry_Int_Tables_number 123
_symmetry_space_group_name_Hall '-P 4 2'
_cell_length_a 2.954
_cell_length_b 2.954
_cell_length_c 7.766
_cell_angle_alpha 90.00
_cell_angle_beta 90.00
_cell_angle_gamma 90.00
loop_
_atom_site_label
_atom_site_type_symbol
_atom_site_fract_x
_atom_site_fract_y
_atom_site_fract_z
Ga1 Ga 0.000 0.000 0.223
Ge1 Ge 0.500 0.500 0.500
Pd1 Pd 0.500 0.500 0.000